(1)
Crystalline Rb2LiAgI6 at its relaxed geometry, computed with GGA-PBE.

The crystal system is tetragonal. The uncorrected energy comes out at -2.376 eV per atom.

The structure belongs to space group I4/m (No. 87); the cell edges are 8.219, 8.219 and 11.646 Å and the angles 90.00°, 90.00° and 90.00°. The distinct sites, in fractional coordinates, are Rb at (0.000, 0.500, 0.250), Li at (0.000, 0.000, 0.000), Ag at (0.000, 0.000, 0.500), I at (0.000, 0.000, 0.251) and I at (0.238, 0.261, 0.500).

(2)
Crystalline ScTlCuMo at its relaxed geometry, computed with GGA-PBE.

The value obtained for the energy above the most stable polymorph in this dataset is 0 meV per atom. The crystal system is cubic. The uncorrected energy comes out at -5.355 eV per atom.

The structure belongs to space group F-43m (No. 216); the cell edges are 6.637, 6.637 and 6.637 Å and the angles 90.00°, 90.00° and 90.00°. The distinct sites, in fractional coordinates, are Sc at (0.000, 0.000, 0.000), Tl at (0.000, 0.000, 0.500), Cu at (0.250, 0.250, 0.750) and Mo at (0.250, 0.250, 0.250).